Entry 1:
K2CaPd | Alexandria | GGA-PBE | relaxed; density of states at the Fermi level = 3.73 states/eV/cell; volume = 48.8 Å³ per atom; calculated formation energy = 0.07 eV per atom; energy relative to the lowest polymorph listed for this composition = 0 meV/atom
1.0
11.8805 0.0000 0.0000
0.0000 11.8805 0.0000
5.9402 5.9402 2.7640
Pd K Ca
2 4 2
Cartesian
11.8805 5.9402 1.3820
0.0000 0.0000 0.0000
8.9104 7.2949 2.0730
14.8506 4.5856 2.0730
13.2352 8.9104 0.6910
10.5258 2.9701 0.6910
5.9402 5.9402 0.0000
5.9402 11.8805 1.3820



Entry 2:
Dy2Ho6Er3Pu | Alexandria | GGA-PBE | relaxed; density of states at the Fermi level = 24.81 states/eV/cell; volume = 30.5 Å³ per atom; calculated formation energy = 0.04 eV per atom
1.0
-3.9660 4.3160 1.6291
-0.5472 -2.7558 -5.3961
-5.1978 -8.4710 5.9977
Ho Er Dy Pu
6 3 2 1
Cartesian
-6.7341 -6.3523 0.5114
-4.6946 -0.9364 -1.3421
-5.0164 -5.9744 3.5728
-7.8613 -4.0208 2.8276
-1.8498 -2.8900 -0.5968
-2.9769 -0.5585 1.7193
-5.9934 -1.1017 3.4536
-4.8555 -3.4554 1.1154
-3.7176 -5.8091 -1.2228
-1.6871 -0.3979 -3.0537
-2.8261 1.9581 -0.7132
0.0000 0.0000 0.0000